[1]
# CsNaMg2Cl6 | Alexandria via LeMat-Bulk | PBE | optimized geometry
data_CsNaMg2Cl6
_chemical_formula_sum 'Cs4 Na4 Mg8 Cl24'
_cell_length_a 13.6763
_cell_length_b 14.3399
_cell_length_c 7.0101
_cell_angle_alpha 90.00
_cell_angle_beta 98.86
_cell_angle_gamma 90.00
_space_group_name_H-M_alt 'C 1 2/c 1'
_space_group_IT_number 15
loop_
_space_group_symop_operation_xyz
'x,y,z'
'-x,-y,-z'
'-x,y,-z+1/2'
'x,-y,z+1/2'
'x+1/2,y+1/2,z'
'-x+1/2,-y+1/2,-z'
'-x+1/2,y+1/2,-z+1/2'
'x+1/2,-y+1/2,z+1/2'
loop_
_atom_site_label
_atom_site_fract_x
_atom_site_fract_y
_atom_site_fract_z
_atom_site_occupancy
Cs1 0.0000 0.1045 0.2500 1
Na1 0.0000 0.2753 0.7500 1
Mg1 0.2027 0.4201 0.2566 1
Cl1 0.1063 0.3027 0.0990 1
Cl2 0.1275 0.1099 0.7177 1
Cl3 0.1671 0.4359 0.5830 1
# Energy relative to the elements, uncorrected (eV/atom): -1.83

=====

[2]
# Cs3NaMg2Cl9 | Alexandria via LeMat-Bulk | PBE | optimized geometry
data_Cs3NaMg2Cl9
_chemical_formula_sum 'Cs3 Na1 Mg2 Cl9'
_cell_length_a 7.4024
_cell_length_b 7.4024
_cell_length_c 9.1679
_cell_angle_alpha 90.00
_cell_angle_beta 90.00
_cell_angle_gamma 120.00
_space_group_name_H-M_alt 'P -3 m 1'
_space_group_IT_number 164
_space_group_name_Hall '-P 3 2"'
loop_
_atom_site_label
_atom_site_fract_x
_atom_site_fract_y
_atom_site_fract_z
_atom_site_occupancy
Cs1 0.0000 0.0000 0.0000 1
Cs2 0.3333 0.6667 0.6614 1
Na1 0.0000 0.0000 0.5000 1
Mg1 0.3333 0.6667 0.1629 1
Cl1 0.0000 0.5000 0.0000 1
Cl2 0.1748 0.3496 0.3174 1
# Energy relative to the elements, uncorrected (eV/atom): -1.76

=====

[3]
# Cs3Na2MgCl6 | Alexandria via LeMat-Bulk | PBE | optimized geometry
data_Cs3Na2MgCl6
_chemical_formula_sum 'Cs3 Na2 Mg1 Cl6'
_cell_length_a 7.6098
_cell_length_b 7.6098
_cell_length_c 8.9559
_cell_angle_alpha 90.00
_cell_angle_beta 90.00
_cell_angle_gamma 120.00
_space_group_name_H-M_alt 'P -3 m 1'
_space_group_IT_number 164
_space_group_name_Hall '-P 3 2"'
loop_
_atom_site_label
_atom_site_fract_x
_atom_site_fract_y
_atom_site_fract_z
_atom_site_occupancy
Cs1 0.0000 0.0000 0.0000 1
Cs2 0.3333 0.6667 0.6327 1
Na1 0.3333 0.6667 0.1877 1
Mg1 0.0000 0.0000 0.5000 1
Cl1 0.1555 0.3111 0.3296 1
# Energy relative to the elements, uncorrected (eV/atom): -1.68

=====

[4]
# Cs2MgNbCl6 | Alexandria via LeMat-Bulk | PBE | optimized geometry
data_Cs2MgNbCl6
_chemical_formula_sum 'Cs8 Mg4 Nb4 Cl24'
_cell_length_a 10.3528
_cell_length_b 10.3528
_cell_length_c 10.3528
_cell_angle_alpha 90.00
_cell_angle_beta 90.00
_cell_angle_gamma 90.00
_space_group_name_H-M_alt 'F m -3 m'
_space_group_IT_number 225
_space_group_name_Hall '-F 4 2 3'
loop_
_atom_site_label
_atom_site_fract_x
_atom_site_fract_y
_atom_site_fract_z
_atom_site_occupancy
Cs1 0.2500 0.2500 0.2500 1
Mg1 0.0000 0.0000 0.0000 1
Nb1 0.0000 0.0000 0.5000 1
Cl1 0.0000 0.0000 0.2466 1
# Energy relative to the elements, uncorrected (eV/atom): -1.57